VASP calculation (PBE) on a relaxed structure of ScBS2N.

Formation energy without anion corrections, eV per atom: -0.27
Space-group type: P4/mmm, No. 123
DOS(E_F), states/eV per atom: 0.323

Unit cell a=5.156 b=5.156 c=2.687 alpha=90.00 beta=90.00 gamma=90.00
Atoms (fractional coordinates):
B (0.000, 0.000, 0.000)
N (0.000, 0.000, 0.500)
S (0.000, 0.500, 0.000)
Sc (0.500, 0.500, 0.500)
S (0.500, 0.000, 0.000)